This record from Alexandria via LeMat-Bulk describes Mg2MnPt after structural relaxation. The functional is PBE.

**Volume**: 16.4 Å³/atom
**SG**: No. 123
**D(E_F)**: 2.15 states/eV/cell
**Electronic total energy**: -4.939 eV per atom
**ΔE_f**: -340 meV/atom

Cell and atoms, written as POSCAR:
```
Mg2MnPt
1.0
4.061 0.000 0.000
0.000 4.061 0.000
0.000 0.000 3.972
Mg Mn Pt
2 1 1
direct
0.000 0.500 0.000 Mg
0.500 0.000 0.000 Mg
0.000 0.000 0.500 Mn
0.500 0.500 0.500 Pt
```

This record from Alexandria via LeMat-Bulk describes MgMnPt2 after structural relaxation. The functional is PBE.

**Volume**: 17.4 Å³/atom
**SG**: No. 122
**D(E_F)**: 10.20 states/eV/cell
**Electronic total energy**: -5.784 eV per atom
**ΔE_f**: -73 meV/atom

Cell and atoms, written as POSCAR:
```
MgMnPt2
1.0
3.985 0.000 0.000
0.000 3.985 0.000
0.000 0.000 17.557
Mg Mn Pt
4 4 8
direct
0.000 0.000 0.000 Mg
0.000 0.500 0.250 Mg
0.500 0.000 0.750 Mg
0.500 0.500 0.500 Mg
0.000 0.000 0.500 Mn
0.000 0.500 0.750 Mn
0.500 0.000 0.250 Mn
0.500 0.500 0.000 Mn
0.245 0.250 0.625 Pt
0.250 0.745 0.875 Pt
0.250 0.755 0.375 Pt
0.255 0.250 0.125 Pt
0.745 0.750 0.125 Pt
0.750 0.245 0.375 Pt
0.750 0.255 0.875 Pt
0.755 0.750 0.625 Pt
```

This record from Alexandria via LeMat-Bulk describes MgMnPt2 after structural relaxation. The functional is PBE.

**Volume**: 15.6 Å³/atom
**SG**: No. 119
**D(E_F)**: 4.30 states/eV/cell
**Electronic total energy**: -6.235 eV per atom
**ΔE_f**: -524 meV/atom

Cell and atoms, written as POSCAR:
```
MgMnPt2
1.0
3.849 0.000 0.000
0.000 3.849 0.000
0.000 0.000 8.417
Mg Mn Pt
2 2 4
direct
0.000 0.000 0.000 Mg
0.500 0.500 0.500 Mg
0.000 0.500 0.250 Mn
0.500 0.000 0.750 Mn
0.000 0.000 0.500 Pt
0.000 0.500 0.750 Pt
0.500 0.000 0.250 Pt
0.500 0.500 0.000 Pt
```

This record from Alexandria via LeMat-Bulk describes Mg2MnPt after structural relaxation. The functional is PBE.

**Volume**: 17.1 Å³/atom
**SG**: No. 166
**D(E_F)**: 7.56 states/eV/cell
**Electronic total energy**: -4.716 eV per atom
**ΔE_f**: -117 meV/atom

Cell and atoms, written as POSCAR:
```
Mg2MnPt
1.0
2.959 0.000 0.000
-1.479 2.563 0.000
0.000 0.000 27.105
Mg Mn Pt
6 3 3
direct
0.000 0.000 0.246 Mg
0.000 0.000 0.754 Mg
0.333 0.667 0.420 Mg
0.333 0.667 0.913 Mg
0.667 0.333 0.087 Mg
0.667 0.333 0.580 Mg
0.000 0.000 0.000 Mn
0.333 0.667 0.667 Mn
0.667 0.333 0.333 Mn
0.000 0.000 0.500 Pt
0.333 0.667 0.167 Pt
0.667 0.333 0.833 Pt
```